[1]
6
Lattice="0.0000 3.3335 3.3335 3.3335 0.0000 3.3335 3.3335 3.3335 0.0000" Properties=species:S:1:pos:R:3 comment="ErUB4, optimized geometry, DFT GGA-PBE" total_energy_ha_per_atom=-0.2463 density_g_cm3=10.1 polymorph_energy_ev_per_atom=0.748 pbc="T T T"
Er 0.0000 0.0000 0.0000
U 1.6668 1.6668 1.6668
B 3.9571 2.7100 2.7100
B 2.7100 3.9571 2.7100
B 2.7100 2.7100 3.9571
B 3.9571 3.9571 3.9571

---

[2]
6
Lattice="-1.7768 1.7768 5.6731 1.7768 -1.7768 5.6731 1.7768 1.7768 -5.6731" Properties=species:S:1:pos:R:3 comment="ErUB4, optimized geometry, DFT GGA-PBE" total_energy_ha_per_atom=-0.2738 density_g_cm3=10.4 polymorph_energy_ev_per_atom=0.000 pbc="T T T"
Er 0.0000 0.0000 0.0000
U 0.0000 1.7768 2.8365
B 1.7768 0.0000 1.9485
B 1.7768 0.0000 3.7246
B 0.0000 0.0000 4.7519
B 0.0000 0.0000 6.5942

---

[3]
12
Lattice="3.4131 0.0000 0.0000 -1.7065 2.9558 0.0000 0.0000 0.0000 19.5562" Properties=species:S:1:pos:R:3 comment="ErVB, optimized geometry, DFT GGA-PBE" total_energy_ha_per_atom=-0.2470 density_g_cm3=7.7 pbc="T T T"
Er 0.0000 0.0000 0.0000
Er 0.0000 0.0000 4.8891
Er 0.0000 0.0000 9.7781
Er 0.0000 0.0000 14.6672
V 0.0000 1.9705 2.5302
V 0.0000 1.9705 7.2479
V 1.7065 0.9853 12.3083
V 1.7065 0.9853 17.0260
B 0.0000 1.9705 11.5428
B 0.0000 1.9705 17.7915
B 1.7065 0.9853 1.7647
B 1.7065 0.9853 8.0134

---

[4]
10
Lattice="1.7520 -9.8821 0.0000 1.7520 9.8821 0.0000 0.0000 0.0000 3.1761" Properties=species:S:1:pos:R:3 comment="ErB3W, optimized geometry, DFT GGA-PBE" total_energy_ha_per_atom=-0.2938 density_g_cm3=11.6 pbc="T T T"
Er 1.7520 8.4312 2.3821
Er 1.7520 -8.4312 0.7940
B 1.7520 3.3997 0.7940
B 1.7520 2.4292 2.3821
B 1.7520 0.4542 2.3821
B 1.7520 -0.4542 0.7940
B 1.7520 -2.4292 0.7940
B 1.7520 -3.3997 2.3821
W 1.7520 5.7880 0.7940
W 1.7520 -5.7880 2.3821

---

[5]
14
Lattice="7.4497 -2.1153 0.0000 7.4497 2.1153 0.0000 -2.0666 0.0000 5.3362" Properties=species:S:1:pos:R:3 comment="ErB4W2, optimized geometry, DFT GGA-PBE" total_energy_ha_per_atom=-0.3149 density_g_cm3=11.4 pbc="T T T"
Er 5.8998 1.1328 4.0022
Er 6.9330 -1.1328 1.3341
B 1.9761 0.5668 0.4129
B 1.9970 0.5568 2.1735
B 0.9429 -0.5668 3.0810
B 0.9637 -0.5568 4.8416
B 11.8691 0.5568 0.4947
B 11.8899 0.5668 2.2552
B 10.8358 -0.5568 3.1628
B 10.8567 -0.5668 4.9233
W 4.2350 0.5779 1.2881
W 3.2017 -0.5779 3.9562
W 9.6311 0.5779 1.3800
W 8.5978 -0.5779 4.0481

---

[6]
24
Lattice="6.0210 0.0000 0.0000 0.0000 11.6262 0.0000 0.0000 0.0000 3.6113" Properties=species:S:1:pos:R:3 comment="ErB4W, optimized geometry, DFT GGA-PBE" total_energy_ha_per_atom=-0.2931 density_g_cm3=10.4 pbc="T T T"
Er 0.7663 1.7369 0.0000
Er 2.2442 7.5500 0.0000
Er 3.7768 4.0762 0.0000
Er 5.2547 9.8894 0.0000
B 0.1388 8.0669 1.8056
B 0.6885 6.3682 1.8056
B 0.8001 11.2553 1.8056
B 1.2759 9.4560 1.8056
B 1.7346 3.6429 1.8056
B 2.2104 5.4422 1.8056
B 2.3220 0.5551 1.8056
B 2.8717 2.2538 1.8056
B 3.1493 9.3724 1.8056
B 3.6990 11.0711 1.8056
B 3.8106 6.1840 1.8056
B 4.2864 7.9833 1.8056
B 4.7451 2.1702 1.8056
B 5.2209 0.3709 1.8056
B 5.3325 5.2580 1.8056
B 5.8822 3.5593 1.8056
W 0.7912 4.8287 0.0000
W 2.2193 10.6418 0.0000
W 3.8017 0.9845 0.0000
W 5.2298 6.7976 0.0000

---

[7]
9
Lattice="5.3530 0.0000 0.0000 -2.6765 4.6358 0.0000 0.0000 0.0000 3.4713" Properties=species:S:1:pos:R:3 comment="ErB6W2, optimized geometry, DFT GGA-PBE" total_energy_ha_per_atom=-0.3007 density_g_cm3=11.6 pbc="T T T"
Er 0.0000 0.0000 0.0000
B -0.9073 1.5715 1.7357
B -1.7692 3.0643 1.7357
B 1.8146 0.0000 1.7357
B 0.9073 1.5715 1.7357
B 3.5384 0.0000 1.7357
B 1.7692 3.0643 1.7357
W 0.0000 3.0905 0.0000
W 2.6765 1.5453 0.0000

---

[8]
9
Lattice="5.6887 0.0000 0.0000 -2.8443 4.9266 0.0000 0.0000 0.0000 3.8591" Properties=species:S:1:pos:R:3 comment="Y2ErB6, optimized geometry, DFT GGA-PBE" total_energy_ha_per_atom=-0.2565 density_g_cm3=6.3 pbc="T T T"
Y 0.0000 3.2844 0.0000
Y 2.8443 1.6422 0.0000
Er 0.0000 0.0000 0.0000
B -0.9435 1.6341 1.9295
B -1.9009 3.2924 1.9295
B 1.8869 0.0000 1.9295
B 0.9435 1.6341 1.9295
B 3.8017 0.0000 1.9295
B 1.9009 3.2924 1.9295

---

[9]
9
Lattice="5.6735 0.0000 0.0000 -2.8367 4.9134 0.0000 0.0000 0.0000 3.8373" Properties=species:S:1:pos:R:3 comment="YEr2B6, optimized geometry, DFT GGA-PBE" total_energy_ha_per_atom=-0.2495 density_g_cm3=7.6 pbc="T T T"
Y 0.0000 0.0000 0.0000
Er 0.0000 3.2756 0.0000
Er 2.8367 1.6378 0.0000
B -0.9498 1.6450 1.9186
B -1.8870 3.2684 1.9186
B 1.8995 0.0000 1.9186
B 0.9498 1.6450 1.9186
B 3.7740 0.0000 1.9186
B 1.8870 3.2684 1.9186

---

[10]
13
Lattice="0.0000 3.7726 3.7726 3.7726 0.0000 3.7726 3.7726 3.7726 0.0000" Properties=species:S:1:pos:R:3 comment="EuB12, optimized geometry, DFT GGA-PBE" total_energy_ha_per_atom=-0.2614 density_g_cm3=4.4 pbc="T T T"
Eu 0.0000 0.0000 0.0000
B 3.7726 2.5026 2.5026
B 5.0425 3.7726 2.5026
B 5.0425 2.5026 3.7726
B 2.5026 3.7726 2.5026
B 3.7726 5.0425 2.5026
B 2.5026 2.5026 3.7726
B 5.0425 5.0425 3.7726
B 3.7726 2.5026 5.0425
B 5.0425 3.7726 5.0425
B 2.5026 5.0425 3.7726
B 2.5026 3.7726 5.0425
B 3.7726 5.0425 5.0425

---

[11]
7
Lattice="4.1626 0.0000 0.0000 0.0000 4.1626 0.0000 0.0000 0.0000 4.1626" Properties=species:S:1:pos:R:3 comment="EuB6, optimized geometry, DFT GGA-PBE" total_energy_ha_per_atom=-0.2818 density_g_cm3=5.0 polymorph_energy_ev_per_atom=0.000 pbc="T T T"
Eu 0.0000 0.0000 0.0000
B 0.8383 2.0813 2.0813
B 2.0813 0.8383 2.0813
B 2.0813 2.0813 0.8383
B 2.0813 2.0813 3.3244
B 2.0813 3.3244 2.0813
B 3.3244 2.0813 2.0813

---

[12]
7
Lattice="-2.5323 2.5323 2.5323 2.5323 -2.5323 2.5323 2.5323 2.5323 -2.5323" Properties=species:S:1:pos:R:3 comment="EuB6, optimized geometry, DFT GGA-PBE" total_energy_ha_per_atom=-0.2619 density_g_cm3=5.5 polymorph_energy_ev_per_atom=0.541 pbc="T T T"
Eu 0.0000 0.0000 0.0000
B 2.5323 1.2661 0.0000
B 2.5323 0.0000 1.2661
B 1.2661 2.5323 0.0000
B 1.2661 0.0000 2.5323
B 0.0000 2.5323 1.2661
B 0.0000 1.2661 2.5323